Entry from the Alexandria database: crystalline Cs6HAu2Cl at its relaxed geometry (PBE).

abc: 8.687 8.687 9.622
angles: 63.20 63.20 60.01
Atoms (fractional coordinates):
1 H 0.328 0.328 0.016
2 Cs 0.209 0.959 0.253
3 Cs 0.579 0.209 0.252
4 Cs 0.694 0.096 0.767
5 Cs 0.444 0.694 0.767
6 Cs 0.096 0.444 0.767
7 Cl 0.826 0.826 0.523
8 Au 0.013 0.013 0.960
9 Cs 0.959 0.579 0.253
10 Au 0.514 0.514 0.457

## Properties
space-group type	R3
volume	537.0	Å³ per cell
mass density	3.80	g/cm³
total DFT energy (no corrections)	-2.197	eV/atom